(1)
Below is a relaxed structure of Li2MnCr3O8, with properties calculated at the PBEsol level.

Properties
Uncorrected energy   -226.10 eV/cell
ΔE to the lowest computed polymorph   75.9 meV/atom
Formation energy without anion corrections   -1902 meV/atom
Fermi-level density of states   12.158 states/eV per cell
Crystal system   monoclinic

CIF file:
```
data_Li2MnCr3O8
_chemical_formula_sum 'Li4 Mn2 Cr6 O16'
_space_group_name_H-M_alt 'C 1 2/m 1'
_space_group_IT_number 12
_cell_length_a 9.940
_cell_length_b 5.776
_cell_length_c 5.812
_cell_angle_alpha 90.00
_cell_angle_beta 124.28
_cell_angle_gamma 90.00
loop_
_space_group_symop_operation_xyz
'x,y,z'
'-x,-y,-z'
'-x,y,-z'
'x,-y,z'
'x+1/2,y+1/2,z'
'-x+1/2,-y+1/2,-z'
'-x+1/2,y+1/2,-z'
'x+1/2,-y+1/2,z'
loop_
_atom_site_label
_atom_site_fract_x
_atom_site_fract_y
_atom_site_fract_z
Li1 0.000 0.000 0.000
Li2 0.000 0.500 0.000
Mn1 0.000 0.000 0.500
Cr1 0.000 0.500 0.500
Cr2 0.250 0.250 0.500
O1 0.013 0.245 0.287
O2 0.233 0.000 0.704
O3 0.235 0.500 0.701
```

=====

(2)
Below is a relaxed structure of YSiH2, with properties calculated at the PBEsol level.

Properties
Uncorrected energy   -78.70 eV/cell
Fermi-level density of states   7.247 states/eV per cell
Crystal system   cubic

CIF file:
```
data_YSiH2
_chemical_formula_sum 'Y4 Si4 H8'
_space_group_name_H-M_alt 'F m -3 m'
_space_group_IT_number 225
_space_group_name_Hall '-F 4 2 3'
_cell_length_a 5.682
_cell_length_b 5.682
_cell_length_c 5.682
_cell_angle_alpha 90.00
_cell_angle_beta 90.00
_cell_angle_gamma 90.00
loop_
_atom_site_label
_atom_site_fract_x
_atom_site_fract_y
_atom_site_fract_z
Y1 0.000 0.000 0.000
Si1 0.000 0.000 0.500
H1 0.250 0.250 0.250
```

=====

(3)
Below is a relaxed structure of GaAsRu3, with properties calculated at the PBEsol level.

Properties
Uncorrected energy   -31.68 eV/cell
ΔH_f (0 K)   1.456 eV per atom
Fermi-level density of states   6.678 states/eV per cell
Crystal system   cubic

CIF file:
```
data_GaAsRu3
_chemical_formula_sum 'Ga1 As1 Ru3'
_space_group_name_H-M_alt 'P m -3 m'
_space_group_IT_number 221
_space_group_name_Hall '-P 4 2 3'
_cell_length_a 4.441
_cell_length_b 4.441
_cell_length_c 4.441
_cell_angle_alpha 90.00
_cell_angle_beta 90.00
_cell_angle_gamma 90.00
loop_
_atom_site_label
_atom_site_fract_x
_atom_site_fract_y
_atom_site_fract_z
Ga1 0.000 0.000 0.000
As1 0.500 0.500 0.500
Ru1 0.000 0.000 0.500
```

=====

(4)
Below is a relaxed structure of Y3BePb, with properties calculated at the PBEsol level.

Properties
Uncorrected energy   -28.86 eV/cell
ΔH_f (0 K)   -0.079 eV per atom
Fermi-level density of states   5.931 states/eV per cell
Crystal system   cubic

CIF file:
```
data_Y3BePb
_chemical_formula_sum 'Y3 Be1 Pb1'
_space_group_name_H-M_alt 'P m -3 m'
_space_group_IT_number 221
_space_group_name_Hall '-P 4 2 3'
_cell_length_a 5.113
_cell_length_b 5.113
_cell_length_c 5.113
_cell_angle_alpha 90.00
_cell_angle_beta 90.00
_cell_angle_gamma 90.00
loop_
_atom_site_label
_atom_site_fract_x
_atom_site_fract_y
_atom_site_fract_z
Y1 0.000 0.000 0.500
Be1 0.000 0.000 0.000
Pb1 0.500 0.500 0.500
```

=====

What did the fourth record say?
Below is a relaxed structure of Y3BePb, with properties calculated at the PBEsol level.

Properties
Uncorrected energy   -28.86 eV/cell
ΔH_f (0 K)   -0.079 eV per atom
Fermi-level density of states   5.931 states/eV per cell
Crystal system   cubic

CIF file:
```
data_Y3BePb
_chemical_formula_sum 'Y3 Be1 Pb1'
_space_group_name_H-M_alt 'P m -3 m'
_space_group_IT_number 221
_space_group_name_Hall '-P 4 2 3'
_cell_length_a 5.113
_cell_length_b 5.113
_cell_length_c 5.113
_cell_angle_alpha 90.00
_cell_angle_beta 90.00
_cell_angle_gamma 90.00
loop_
_atom_site_label
_atom_site_fract_x
_atom_site_fract_y
_atom_site_fract_z
Y1 0.000 0.000 0.500
Be1 0.000 0.000 0.000
Pb1 0.500 0.500 0.500
```

=====

The lowest uncorrected energy belongs to which entry?
Li2MnCr3O8

=====

Among the records above, which one has the highest Fermi-level density of states?
Li2MnCr3O8